Density functional theory data (PBE) for crystalline Cr2AsOs at its relaxed geometry.

The structure belongs to space group I4/mmm (No. 139); the cell edges are 3.602, 3.602 and 8.084 Å and the angles 90.00°, 90.00° and 90.00°. The asymmetric unit holds Cr at (0.000, 0.500, 0.250), As at (0.000, 0.000, 0.000) and Os at (0.000, 0.000, 0.500).

The total moment comes out at 0.002 μB per formula unit. The formation enthalpy at 0 K is 22.9 kJ per mole of atoms. The electronic total energy is -8.54 eV/atom.